# 1
Here is crystalline Li8CoO4F2 at its relaxed geometry from the Alexandria database. Energies are from PBE+U.

Energy above the most stable polymorph in this dataset (meV/atom): 0.0

Cell lengths 5.401, 5.444, 5.945 Å; angles 64.28, 74.31, 66.83 degrees
Space group P-1 (No. 2)
One atom of each set of equivalent atoms:
Li 0.050 0.377 0.309 (multiplicity 2)
Li 0.280 0.164 0.923 (multiplicity 2)
Li 0.310 0.948 0.621 (multiplicity 2)
Li 0.347 0.714 0.366 (multiplicity 2)
Co 0.500 0.500 0.000 (multiplicity 1)
O 0.316 0.556 0.741 (multiplicity 2)
O 0.391 0.099 0.236 (multiplicity 2)
F 0.002 0.238 0.703 (multiplicity 2)

=====

# 2
Here is crystalline Li6Co6O5F11 at its relaxed geometry from the Alexandria database. Energies are from PBE+U.

Energy above the most stable polymorph in this dataset (meV/atom): 48.4

Cell lengths 5.953, 6.050, 9.839 Å; angles 83.44, 88.53, 61.33 degrees
Space group P1 (No. 1)
One atom of each set of equivalent atoms:
Li 0.000 0.000 0.000 (multiplicity 1)
Li 0.014 0.917 0.368 (multiplicity 1)
Li 0.327 0.341 0.870 (multiplicity 1)
Li 0.379 0.232 0.441 (multiplicity 1)
Li 0.472 0.609 0.455 (multiplicity 1)
Li 0.805 0.922 0.667 (multiplicity 1)
Co 0.032 0.462 0.190 (multiplicity 1)
Co 0.306 0.911 0.688 (multiplicity 1)
Co 0.469 0.475 0.180 (multiplicity 1)
Co 0.519 0.961 0.163 (multiplicity 1)
Co 0.642 0.727 0.931 (multiplicity 1)
Co 0.814 0.398 0.682 (multiplicity 1)
O 0.234 0.567 0.312 (multiplicity 1)
O 0.346 0.303 0.073 (multiplicity 1)
O 0.366 0.801 0.064 (multiplicity 1)
O 0.506 0.997 0.807 (multiplicity 1)
O 0.824 0.802 0.071 (multiplicity 1)
F 0.134 0.805 0.557 (multiplicity 1)
F 0.135 0.261 0.576 (multiplicity 1)
F 0.223 0.085 0.303 (multiplicity 1)
F 0.500 0.541 0.807 (multiplicity 1)
F 0.627 0.758 0.568 (multiplicity 1)
F 0.640 0.279 0.562 (multiplicity 1)
F 0.671 0.101 0.299 (multiplicity 1)
F 0.685 0.596 0.296 (multiplicity 1)
F 0.815 0.345 0.070 (multiplicity 1)
F 0.961 0.533 0.810 (multiplicity 1)
F 0.975 0.045 0.799 (multiplicity 1)

=====

# 3
Here is crystalline LiCo2OF3 at its relaxed geometry from the Alexandria database. Energies are from PBE+U.

Energy above the most stable polymorph in this dataset (meV/atom): 25.1

Cell lengths 5.9921, 5.9921, 5.1660 Å; angles 90.00, 90.00, 120.00 degrees
Space group P-3m1 (No. 164)
One atom of each set of equivalent atoms:
Li 0.3333 0.6667 0.0276 (multiplicity 2)
Co 0.0000 0.0000 0.0000 (multiplicity 1)
Co 0.0000 0.5000 0.5000 (multiplicity 3)
O 0.3333 0.6667 0.6680 (multiplicity 2)
F 0.1708 0.3417 0.2192 (multiplicity 6)

=====

# 4
Here is crystalline Li8CoO4F2 at its relaxed geometry from the Alexandria database. Energies are from PBE+U.

Energy above the most stable polymorph in this dataset (meV/atom): 17.3

Cell lengths 9.651, 5.697, 10.867 Å; angles 90.00, 90.00, 90.00 degrees
Space group Cmc2_1 (No. 36)
One atom of each set of equivalent atoms:
Li 0.000 0.084 0.000 (multiplicity 4)
Li 0.000 0.186 0.651 (multiplicity 4)
Li 0.151 0.342 0.137 (multiplicity 8)
Li 0.164 0.005 0.779 (multiplicity 8)
Li 0.184 0.310 0.514 (multiplicity 8)
Co 0.000 0.467 0.880 (multiplicity 4)
O 0.000 0.159 0.827 (multiplicity 4)
O 0.000 0.482 0.556 (multiplicity 4)
O 0.169 0.001 0.094 (multiplicity 8)
F 0.166 0.327 0.324 (multiplicity 8)

=====

Summary of size of the total moment in Bohr magnetons per cell
3.0; 17.0; 12.0; 12.0
(order as listed above)
Summary of calculated volume in Å³ per cell
144; 309; 161; 598
(order as listed above)